This record from the Alexandria database describes an optimized crystal structure of NaMg30FeO32. The functional is PBE with a Hubbard U.

Calculated values
Calculated volume: 9.71 A^3/atom
Uncorrected energy: -5.960 eV per atom
Magnetization: 0.079 μB per atom
Calculated density: 3.5 g/cm3
Density of states at the Fermi level: 0.000 states/eV/atom

Cell lengths 8.5332, 8.5332, 8.5357 Å; angles 90.00, 90.00, 90.00 degrees
With the nearest neighbours (Å) after each atom.
Space group P4/mmm (No. 123)
Asymmetric unit:
Na 0.0000 0.0000 0.0000 [1 per cell]  6 O 2.24-2.26
Mg 0.0000 0.0000 0.5000 [1 per cell]  6 O 2.02-2.16
Mg 0.0000 0.2479 0.2491 [8 per cell]  6 O 2.12-2.15
Mg 0.0000 0.5000 0.0000 [2 per cell]  6 O 2.01-2.20
Mg 0.0000 0.5000 0.5000 [2 per cell]  6 O 2.11-2.15
Mg 0.2460 0.2460 0.0000 [4 per cell]  6 O 2.11-2.17
Mg 0.2474 0.5000 0.2515 [8 per cell]  6 O 2.11-2.16
Mg 0.2489 0.2489 0.5000 [4 per cell]  6 O 2.12-2.14
Mg 0.5000 0.5000 0.5000 [1 per cell]  6 O 2.11-2.18
Fe 0.5000 0.5000 0.0000 [1 per cell]  6 O 2.06-2.09
O 0.0000 0.0000 0.2629 [2 per cell]  5 Mg 2.02-2.12, 1 Na 2.24
O 0.0000 0.2531 0.5000 [4 per cell]  6 Mg 2.11-2.16
O 0.0000 0.2644 0.0000 [4 per cell]  5 Mg 2.01-2.13
O 0.0000 0.5000 0.2511 [4 per cell]  6 Mg 2.11-2.15
O 0.2509 0.2509 0.2495 [8 per cell]  6 Mg 2.13-2.14
O 0.2525 0.5000 0.5000 [4 per cell]  6 Mg 2.11-2.15
O 0.2583 0.5000 0.0000 [4 per cell]  1 Fe 2.06, 5 Mg 2.15-2.20
O 0.5000 0.5000 0.2449 [2 per cell]  1 Fe 2.09, 5 Mg 2.16-2.18